Version i
VASP calculation (PBE) on crystalline Rb2MoRu at its relaxed geometry.

Unit cell a=13.148 b=13.148 c=4.643 alpha=90.00 beta=90.00 gamma=90.00
Space group I-42d (No. 122)
Inequivalent atoms, fractional coordinates:
Rb1 0.073 0.250 0.125 x8
Mo1 0.000 0.000 0.500 x4
Ru1 0.000 0.000 0.000 x4

Values from the calculation:
density: 3.05 Mg/m³
DOS at the Fermi energy: 1.910 states/eV per atom

Version ii
VASP calculation (PBE) on crystalline Rb2MoRu at its relaxed geometry.

Unit cell a=8.306 b=8.306 c=8.306 alpha=90.00 beta=90.00 gamma=90.00
Space group Fm-3m (No. 225)
Inequivalent atoms, fractional coordinates:
Rb1 0.250 0.250 0.250 x8
Mo1 0.000 0.000 0.000 x4
Ru1 0.000 0.000 0.500 x4

Values from the calculation:
density: 4.27 Mg/m³
DOS at the Fermi energy: 1.686 states/eV per atom

Going by the energies, version i is most stable and the next is 0.851 eV/atom up.

Version i
VASP calculation (PBE) on crystalline RbMoS3 at its relaxed geometry.

Unit cell a=4.801 b=4.801 c=4.801 alpha=90.00 beta=90.00 gamma=90.00
Space group Pm-3m (No. 221)
Inequivalent atoms, fractional coordinates:
Rb1 0.000 0.000 0.000 x1
Mo1 0.500 0.500 0.500 x1
S1 0.000 0.500 0.500 x3

Values from the calculation:
density: 4.17 Mg/m³
DOS at the Fermi energy: 0.394 states/eV per atom

Version ii
VASP calculation (PBE) on crystalline RbMoS3 at its relaxed geometry.

Unit cell a=7.472 b=6.506 c=14.145 alpha=90.00 beta=108.15 gamma=90.00
Space group P2_1/c (No. 14)
Inequivalent atoms, fractional coordinates:
Rb1 0.220 0.226 0.178 x4
Mo1 0.349 0.639 0.958 x4
S1 0.161 0.736 0.040 x4
S2 0.280 0.741 0.306 x4
S3 0.344 0.216 0.452 x4

Values from the calculation:
density: 2.82 Mg/m³

Going by the energies, version ii is most stable and the next is 0.267 eV/atom up.